## TmMn2SiC (meta-GGA SCAN)

Data for a crystal of TmMn2SiC relaxed with PBEsol.

Properties
**Uncorrected formation energy**: -602 meV per atom
**DFT total energy**: -445.86 eV per cell

a b c (Å): 3.624 10.382 6.859
angles (deg): 90.00 90.00 90.00
Space group Cmcm (No. 63)
Inequivalent atoms, fractional coordinates:
Tm  0.000  0.043  0.250 (multiplicity 4)
Mn  0.000  0.331  0.062 (multiplicity 8)
Si  0.000  0.237  0.750 (multiplicity 4)
C  0.000  0.500  0.000 (multiplicity 4)

## UMn2SiC (meta-GGA SCAN)

Data for a crystal of UMn2SiC relaxed with PBEsol.

Properties
**Uncorrected formation energy**: -270 meV per atom
**DFT total energy**: -646.01 eV per cell

a b c (Å): 3.700 10.495 6.605
angles (deg): 90.00 90.00 90.00
Space group Cmcm (No. 63)
Inequivalent atoms, fractional coordinates:
U  0.000  0.054  0.250 (multiplicity 4)
Mn  0.000  0.332  0.061 (multiplicity 8)
Si  0.000  0.227  0.750 (multiplicity 4)
C  0.000  0.500  0.000 (multiplicity 4)

## ZrMnSiC2 (meta-GGA SCAN)

Data for a crystal of ZrMnSiC2 relaxed with PBEsol.

Properties
**Uncorrected formation energy**: 2011 meV per atom
**DFT total energy**: -69.11 eV per cell

a b c (Å): 4.123 4.123 5.296
angles (deg): 90.00 90.00 90.00
Space group P4/mmm (No. 123)
Inequivalent atoms, fractional coordinates:
Zr  0.000  0.000  0.000 (multiplicity 1)
Mn  0.000  0.000  0.500 (multiplicity 1)
Si  0.500  0.500  0.500 (multiplicity 1)
C  0.000  0.500  0.000 (multiplicity 2)

## Sm2Mn17C2 (meta-GGA SCAN)

Data for a crystal of Sm2Mn17C2 relaxed with PBEsol.

Properties
**DFT total energy**: -841.58 eV per cell
**Calculated formation energy**: -0.065 eV per atom

a b c (Å): 9.375 8.448 6.324
angles (deg): 90.00 98.24 90.00
Space group C2/m (No. 12)
Inequivalent atoms, fractional coordinates:
Sm  0.145  0.000  0.342 (multiplicity 4)
Mn  0.000  0.232  0.000 (multiplicity 4)
Mn  0.000  0.500  0.500 (multiplicity 2)
Mn  0.095  0.500  0.905 (multiplicity 4)
Mn  0.101  0.263  0.662 (multiplicity 8)
Mn  0.142  0.364  0.279 (multiplicity 8)
Mn  0.151  0.000  0.870 (multiplicity 4)
Mn  0.250  0.250  0.000 (multiplicity 4)
C  0.250  0.250  0.500 (multiplicity 4)

## TaMnSnC2 (meta-GGA SCAN)

Data for a crystal of TaMnSnC2 relaxed with PBEsol.

Properties
**DFT total energy**: -134.17 eV per cell
**Calculated formation energy**: 1.359 eV per atom

a b c (Å): 3.818 3.818 4.879
angles (deg): 90.00 90.00 90.00
Space group P4/mmm (No. 123)
Inequivalent atoms, fractional coordinates:
Ta  0.000  0.000  0.000 (multiplicity 1)
Mn  0.000  0.000  0.500 (multiplicity 1)
Sn  0.500  0.500  0.000 (multiplicity 1)
C  0.000  0.500  0.500 (multiplicity 2)

## MnTcSn2C (meta-GGA SCAN)

Data for a crystal of MnTcSn2C relaxed with PBEsol.

Properties
**DFT total energy**: -129.88 eV per cell
**Calculated formation energy**: 1.076 eV per atom

a b c (Å): 4.970 4.970 3.550
angles (deg): 90.00 90.00 90.00
Space group P4/mmm (No. 123)
Inequivalent atoms, fractional coordinates:
Mn  0.000  0.000  0.000 (multiplicity 1)
Tc  0.500  0.500  0.500 (multiplicity 1)
Sn  0.000  0.500  0.000 (multiplicity 2)
C  0.000  0.000  0.500 (multiplicity 1)

## TaTiMnC2 (meta-GGA SCAN)

Data for a crystal of TaTiMnC2 relaxed with PBEsol.

Properties
**DFT total energy**: -112.65 eV per cell
**Calculated formation energy**: 1.684 eV per atom

a b c (Å): 4.122 4.122 4.913
angles (deg): 90.00 90.00 90.00
Space group P4/mmm (No. 123)
Inequivalent atoms, fractional coordinates:
Ta  0.000  0.000  0.000 (multiplicity 1)
Ti  0.000  0.000  0.500 (multiplicity 1)
Mn  0.500  0.500  0.500 (multiplicity 1)
C  0.000  0.500  0.000 (multiplicity 2)

## Mn3TcC (meta-GGA SCAN)

Data for a crystal of Mn3TcC relaxed with PBEsol.

Properties
**DFT total energy**: -89.14 eV per cell
**Calculated formation energy**: 2.157 eV per atom

a b c (Å): 4.445 4.445 4.445
angles (deg): 90.00 90.00 90.00
Space group Pm-3m (No. 221)
Inequivalent atoms, fractional coordinates:
Mn  0.000  0.000  0.500 (multiplicity 3)
Tc  0.000  0.000  0.000 (multiplicity 1)
C  0.500  0.500  0.500 (multiplicity 1)

## MnTe3C (meta-GGA SCAN)

Data for a crystal of MnTe3C relaxed with PBEsol.

Properties
**Uncorrected formation energy**: 1522 meV per atom
**DFT total energy**: -132.50 eV per cell

a b c (Å): 5.043 5.043 5.043
angles (deg): 90.00 90.00 90.00
Space group Pm-3m (No. 221)
Inequivalent atoms, fractional coordinates:
Mn  0.000  0.000  0.000 (multiplicity 1)
Te  0.000  0.000  0.500 (multiplicity 3)
C  0.500  0.500  0.500 (multiplicity 1)

## Th2Mn17C2 (meta-GGA SCAN)

Data for a crystal of Th2Mn17C2 relaxed with PBEsol.

Properties
**DFT total energy**: -1048.84 eV per cell
**Calculated formation energy**: -0.097 eV per atom

a b c (Å): 9.401 8.539 6.349
angles (deg): 90.00 98.55 90.00
Space group C2/m (No. 12)
Inequivalent atoms, fractional coordinates:
Th  0.143  0.000  0.336 (multiplicity 4)
Mn  0.000  0.235  0.000 (multiplicity 4)
Mn  0.000  0.500  0.500 (multiplicity 2)
Mn  0.095  0.500  0.906 (multiplicity 4)
Mn  0.102  0.263  0.661 (multiplicity 8)
Mn  0.141  0.365  0.277 (multiplicity 8)
Mn  0.156  0.000  0.866 (multiplicity 4)
Mn  0.250  0.250  0.000 (multiplicity 4)
C  0.250  0.250  0.500 (multiplicity 4)

## MnTl3C (meta-GGA SCAN)

Data for a crystal of MnTl3C relaxed with PBEsol.

Properties
**DFT total energy**: -239.48 eV per cell
**Calculated formation energy**: 1.190 eV per atom

a b c (Å): 4.832 4.832 4.832
angles (deg): 90.00 90.00 90.00
Space group Pm-3m (No. 221)
Inequivalent atoms, fractional coordinates:
Mn  0.000  0.000  0.000 (multiplicity 1)
Tl  0.000  0.500  0.500 (multiplicity 3)
C  0.500  0.500  0.500 (multiplicity 1)

## Tm10Mn13C18 (meta-GGA SCAN)

Data for a crystal of Tm10Mn13C18 relaxed with PBEsol.

Properties
**DFT total energy**: -1909.54 eV per cell
**Calculated formation energy**: -0.423 eV per atom

a b c (Å): 9.858 9.858 9.858
angles (deg): 90.00 90.00 90.00
Space group I-43m (No. 217)
Inequivalent atoms, fractional coordinates:
Tm  0.000  0.250  0.500 (multiplicity 12)
Tm  0.206  0.206  0.794 (multiplicity 8)
Mn  0.000  0.000  0.000 (multiplicity 2)
Mn  0.077  0.077  0.256 (multiplicity 24)
C  0.000  0.000  0.430 (multiplicity 12)
C  0.037  0.259  0.259 (multiplicity 24)

> Look up the DFT total energy of the tenth one.

-1048.84 eV per cell

> DFT total energy of number 6 (MnTcSn2C)?

-129.88 eV per cell